VASP calculation (PBE) on an optimized crystal structure of BC5.

Results
* calculated total energy: -8.5323 eV per atom
* energy of formation from the pure elements: 1.6 eV/f.u.
* D(E_F): 1.5 states/eV/cell
* space group: C2/m, No. 12

a b c (Å): 6.885 6.885 4.470
angles (deg): 108.72 108.72 21.12
Positions (direct):
B1 0.220 0.220 0.363
B2 0.780 0.780 0.637
C1 0.062 0.062 0.561
C2 0.098 0.098 0.262
C3 0.273 0.273 0.095
C4 0.397 0.397 0.230
C5 0.440 0.440 0.940
C6 0.560 0.560 0.060
C7 0.603 0.603 0.770
C8 0.727 0.727 0.905
C9 0.902 0.902 0.738
C10 0.938 0.938 0.439